1.
The following is a DFT calculation (PBE-GGA) of a relaxed FePtRh2 crystal.

a = 2.726 Å, b = 2.726 Å, c = 7.584 Å
α = 90.00°, β = 90.00°, γ = 90.00°
Last column: magnetic moment on the atom in μB.
Element x y z (fractional)
Fe (0.000, 0.000, 0.495)  2.85
Rh (0.000, 0.000, 0.008)  -0.41
Pt (0.500, 0.500, 0.739)  0.12
Rh (0.500, 0.500, 0.258)  -0.02

The space group is P4mm, No. 99. The density comes out at 13.5 g/cm3. For the raw total energy, the calculation gives -7.3744 eV per atom. The energy of formation from the pure elements comes out at -7.0 kJ per mole of atoms. For the density of states at the Fermi level, the calculation gives 5.53 states/eV/cell.

---

2.
The following is a DFT calculation (PBE-GGA) of a relaxed Fe4Pt2Rh crystal.

a = 4.730 Å, b = 4.730 Å, c = 5.826 Å
α = 113.95°, β = 113.95°, γ = 90.00°
Last column: magnetic moment on the atom in μB.
Element x y z (fractional)
Fe (0.750, 0.250, 0.500)  3.03
Fe (0.500, 0.000, 0.000)  2.86
Fe (0.000, 0.500, 0.000)  2.86
Fe (0.250, 0.750, 0.500)  3.03
Pt (0.641, 0.641, 0.283)  0.37
Pt (0.359, 0.359, 0.717)  0.37
Rh (0.000, 0.000, 0.000)  0.95

The space group is I4/mmm, No. 139. The density comes out at 11.1 g/cm3. For the raw total energy, the calculation gives -7.2311 eV per atom. The energy of formation from the pure elements comes out at 36.7 kJ per mole of atoms. For the density of states at the Fermi level, the calculation gives 7.11 states/eV/cell.

---

3.
The following is a DFT calculation (PBE-GGA) of a relaxed FePtRh2 crystal.

a = 8.916 Å, b = 8.916 Å, c = 8.916 Å
α = 17.60°, β = 17.60°, γ = 17.60°
Last column: magnetic moment on the atom in μB.
Element x y z (fractional)
Fe (0.502, 0.502, 0.502)  2.79
Rh (0.247, 0.247, 0.247)  0.03
Rh (0.998, 0.998, 0.998)  -0.63
Pt (0.754, 0.754, 0.754)  0.10

The space group is R3m, No. 160. The density comes out at 13.4 g/cm3. For the raw total energy, the calculation gives -7.3403 eV per atom. The energy of formation from the pure elements comes out at -3.7 kJ per mole of atoms. For the density of states at the Fermi level, the calculation gives 5.01 states/eV/cell.

---

4.
The following is a DFT calculation (PBE-GGA) of a relaxed FePtRh3 crystal.

a = 6.223 Å, b = 6.223 Å, c = 6.223 Å
α = 110.24°, β = 131.27°, γ = 89.68°
Last column: magnetic moment on the atom in μB.
Element x y z (fractional)
Rh (0.500, 0.323, 0.323)  0.36
Pt (0.500, 0.500, 0.000)  0.12
Rh (0.284, 0.034, 0.750)  0.35
Fe (0.021, 0.271, 0.250)  3.35
Pt (0.500, 0.000, 0.500)  0.12
Fe (0.979, 0.729, 0.750)  3.35
Rh (0.000, 0.677, 0.177)  0.36
Rh (0.716, 0.966, 0.250)  0.35
Rh (0.000, 0.323, 0.823)  0.36
Rh (0.500, 0.677, 0.677)  0.36

The space group is Imma, No. 74. The density comes out at 11.5 g/cm3. The value obtained for the polymorph energy (0 for the lowest one) is 0.327 eV/atom. For the raw total energy, the calculation gives -6.9640 eV per atom. The energy of formation from the pure elements comes out at 33.5 kJ per mole of atoms. For the density of states at the Fermi level, the calculation gives 11.14 states/eV/cell.

---

5.
The following is a DFT calculation (PBE-GGA) of a relaxed FePt4Rh3 crystal.

a = 2.718 Å, b = 8.573 Å, c = 6.892 Å
α = 128.46°, β = 101.37°, γ = 90.00°
Last column: magnetic moment on the atom in μB.
Element x y z (fractional)
Pt (0.628, 0.394, 0.257)  0.07
Rh (0.000, 0.500, 0.000)  0.07
Pt (0.372, 0.137, 0.743)  0.07
Fe (0.500, 0.000, 0.000)  2.96
Rh (0.795, 0.795, 0.591)  0.18
Pt (0.628, 0.863, 0.257)  0.07
Pt (0.372, 0.606, 0.743)  0.07
Rh (0.205, 0.205, 0.409)  0.18

The space group is Immm, No. 71. The density comes out at 15.6 g/cm3. The value obtained for the polymorph energy (0 for the lowest one) is 0.000 eV/atom. For the raw total energy, the calculation gives -6.7853 eV per atom. The energy of formation from the pure elements comes out at 4.8 kJ per mole of atoms. For the density of states at the Fermi level, the calculation gives 10.74 states/eV/cell.

---

6.
The following is a DFT calculation (PBE-GGA) of a relaxed FeSbPt2Rh crystal.

a = 4.912 Å, b = 4.473 Å, c = 4.912 Å
α = 90.00°, β = 90.00°, γ = 90.00°
Last column: magnetic moment on the atom in μB.
Element x y z (fractional)
Pt (0.500, 0.000, 0.000)  0.13
Fe (0.000, 0.500, 0.000)  3.25
Sb (0.500, 0.500, 0.500)  -0.03
Rh (0.000, 0.000, 0.000)  0.95
Pt (0.000, 0.000, 0.500)  0.34

The value obtained for the formation energy from raw total energies is 93.80 kJ/mol of atoms. The space group is P4/mmm, No. 123. The density comes out at 10.3 g/cm3. For the raw total energy, the calculation gives -5.4314 eV per atom. For the density of states at the Fermi level, the calculation gives 5.54 states/eV/cell.

---

7.
The following is a DFT calculation (PBE-GGA) of a relaxed FeTePt2Rh crystal.

a = 4.914 Å, b = 4.500 Å, c = 4.914 Å
α = 90.00°, β = 90.00°, γ = 90.00°
Last column: magnetic moment on the atom in μB.
Element x y z (fractional)
Rh (0.000, 0.000, 0.000)  0.95
Fe (0.000, 0.500, 0.000)  3.31
Pt (0.500, 0.000, 0.000)  0.16
Te (0.500, 0.500, 0.500)  0.05
Pt (0.000, 0.000, 0.500)  0.38

The value obtained for the formation energy from raw total energies is 98.39 kJ/mol of atoms. The space group is P4/mmm, No. 123. The density comes out at 10.3 g/cm3. For the raw total energy, the calculation gives -5.1878 eV per atom. For the density of states at the Fermi level, the calculation gives 5.90 states/eV/cell.

---

8.
The following is a DFT calculation (PBE-GGA) of a relaxed TiFePtRh2 crystal.

a = 4.435 Å, b = 4.435 Å, c = 4.559 Å
α = 90.00°, β = 90.00°, γ = 90.00°
Last column: magnetic moment on the atom in μB.
Element x y z (fractional)
Rh (0.500, 0.000, 0.000)  0.28
Pt (0.000, 0.000, 0.500)  0.17
Ti (0.500, 0.500, 0.500)  0.84
Fe (0.000, 0.000, 0.000)  2.51
Rh (0.000, 0.500, 0.000)  0.28

The space group is P4/mmm, No. 123. The density comes out at 9.3 g/cm3. For the raw total energy, the calculation gives -6.7547 eV per atom. The energy of formation from the pure elements comes out at 64.2 kJ per mole of atoms. For the density of states at the Fermi level, the calculation gives 5.47 states/eV/cell.